Density functional theory data (PBE) for a relaxed LaTcSe2 crystal.

```
LaTcSe2
1.0
0.000 3.480 3.480
3.480 0.000 3.480
3.480 3.480 0.000
Se Tc La
2 1 1
Cartesian
5.220 5.220 5.220
1.740 1.740 1.740
0.000 0.000 0.000
3.480 3.480 3.480
```

## Properties
**Space group**: Fm-3m, No. 225
**ΔE_f (raw)**: -2.5 eV/f.u.
**Crystal system**: cubic

Density functional theory data (PBE) for a relaxed Na3Pd crystal.

```
Na3Pd
1.0
-0.862 -0.349 -3.844
2.574 -2.987 -0.307
-6.815 -3.655 3.895
Na Pd
3 1
Cartesian
0.856 -1.668 -2.075
-2.018 -1.802 0.616
-3.085 -5.188 -0.872
0.000 0.000 0.000
```

## Properties
**Space group**: I4/mmm, No. 139
**Energy relative to the elements**: 0.1302 eV per atom
**Crystal system**: tetragonal

Density functional theory data (PBE) for a relaxed LaLuAs2 crystal.

```
LaLuAs2
1.0
-3.776 0.969 -1.598
-3.496 -1.555 1.763
-2.770 5.258 4.180
As Lu La
2 1 1
Cartesian
-7.537 3.607 3.337
-2.504 1.065 1.008
0.000 0.000 0.000
-5.020 2.336 2.173
```

## Properties
**Space group**: R-3m, No. 166
**Energy relative to the elements**: -1.5052 eV per atom
**Crystal system**: trigonal

Density functional theory data (PBE) for a relaxed PrUN crystal.

```
PrUN
1.0
4.634 0.000 0.000
0.000 4.634 0.000
-2.317 -2.317 3.983
N Pr U
1 1 1
Cartesian
2.317 2.317 1.043
0.000 0.000 2.761
2.317 2.317 2.968
```

## Properties
**Space group**: I4mm, No. 107
**ΔE_f (raw)**: 1.7 eV/f.u.
**Crystal system**: tetragonal

Number 1: DOS(E_F) 3.97 states/eV per cell. Number 2: DOS(E_F) 2.01 states/eV per cell. Number 3: DOS(E_F) 0.46 states/eV per cell. Number 4: DOS(E_F) 8.84 states/eV per cell.